A relaxed CrI2O crystal. Source: Alexandria via LeMat-Bulk, functional GGA+U.

The structure belongs to space group I-42d (No. 122); the cell edges are 6.3459, 6.3459 and 12.4212 Å and the angles 90.00°, 90.00° and 90.00°. The asymmetric unit holds Cr at (0.0000, 0.0000, 0.0000), I at (0.2490, 0.2500, 0.6250) and O at (0.0000, 0.0000, 0.5000).

As for the crystal system: tetragonal. The value obtained for the density of states at the Fermi level is 0.10 states/eV/atom. For the relative energy among the computed polymorphs, the calculation gives 0.000 eV per atom.